# 1
Compound: Na2NbTlPb
Source: Alexandria
Functional: PBE-GGA
Structure: relaxed

```
Na2NbTlPb
1.0
5.492 0.000 0.000
0.000 5.492 0.000
0.000 0.000 5.505
Na Nb Tl Pb
2 1 1 1
direct
0.000 0.500 0.000
0.500 0.000 0.000
0.000 0.000 0.500
0.500 0.500 0.500
0.000 0.000 0.000
```

* space group: P4/mmm
* crystal system: tetragonal
* E: -2.91 eV/atom
* E_form: 0.85 eV per atom
* M_tot: 0.00 μB/f.u.

# 2
Compound: NaZrNb2Pb
Source: Alexandria
Functional: PBE-GGA
Structure: relaxed

```
NaZrNb2Pb
1.0
4.772 0.000 0.000
0.000 4.772 0.000
0.000 0.000 4.957
Na Zr Nb Pb
1 1 2 1
direct
0.000 0.000 0.000
0.000 0.000 0.500
0.000 0.500 0.000
0.500 0.000 0.000
0.500 0.500 0.500
```

* space group: P4/mmm
* crystal system: tetragonal
* E: -5.14 eV/atom
* E_form: 1.61 eV per atom
* M_tot: 0.00 μB/f.u.

# 3
Compound: NaNb2Pd2
Source: Alexandria
Functional: PBE-GGA
Structure: relaxed

```
NaNb2Pd2
1.0
8.187 0.000 0.000
0.000 8.187 0.000
0.000 0.000 2.787
Na Nb Pd
2 4 4
direct
0.000 0.000 0.000
0.500 0.500 0.000
0.117 0.383 0.000
0.383 0.883 0.000
0.617 0.117 0.000
0.883 0.617 0.000
0.176 0.676 0.500
0.324 0.176 0.500
0.676 0.824 0.500
0.824 0.324 0.500
```

* space group: P4/mbm
* crystal system: tetragonal
* E: -6.40 eV/atom
* E_form: -0.03 eV per atom
* M_tot: 0.00 μB/f.u.

# 4
Compound: NaNbPd
Source: Alexandria
Functional: PBE-GGA
Structure: relaxed

```
NaNbPd
1.0
0.000 3.658 6.793
2.490 0.000 6.793
2.490 3.658 0.000
Na Nb Pd
2 2 2
direct
0.250 0.250 0.250
0.750 0.750 0.750
0.157 0.843 0.157
0.843 0.157 0.843
0.402 0.402 0.598
0.598 0.598 0.402
```

* space group: Fmmm
* crystal system: orthorhombic
* E: -5.12 eV/atom
* E_form: 0.41 eV per atom
* M_tot: 0.00 μB/f.u.

# 5
Compound: NaNb2Pd
Source: Alexandria
Functional: PBE-GGA
Structure: relaxed

```
NaNb2Pd
1.0
0.000 3.290 3.290
3.290 0.000 3.290
3.290 3.290 0.000
Na Nb Pd
1 2 1
direct
0.000 0.000 0.000
0.250 0.250 0.250
0.750 0.750 0.750
0.500 0.500 0.500
```

* space group: Fm-3m
* crystal system: cubic
* E: -5.99 eV/atom
* E_form: 0.67 eV per atom
* M_tot: 0.00 μB/f.u.

# 6
Compound: NaNb2Pd
Source: Alexandria
Functional: PBE-GGA
Structure: relaxed

```
NaNb2Pd
1.0
-3.859 3.859 2.657
3.859 -3.859 2.657
3.859 3.859 -2.657
Na Nb Pd
2 4 2
direct
0.000 0.000 0.000
0.750 0.250 0.500
0.162 0.625 0.037
0.375 0.412 0.537
0.588 0.125 0.963
0.875 0.838 0.463
0.250 0.750 0.500
0.500 0.500 0.000
```

* space group: I-42d
* crystal system: tetragonal
* E: -5.94 eV/atom
* E_form: 0.72 eV per atom
* M_tot: 0.00 μB/f.u.

# 7
Compound: Na2NbPdPt
Source: Alexandria
Functional: PBE-GGA
Structure: relaxed

```
Na2NbPdPt
1.0
5.634 0.000 0.000
0.000 5.634 0.000
0.000 0.000 4.781
Na Nb Pd Pt
2 1 1 1
direct
0.000 0.500 0.000
0.500 0.000 0.000
0.000 0.000 0.000
0.500 0.500 0.500
0.000 0.000 0.500
```

* space group: P4/mmm
* crystal system: tetragonal
* E: -3.52 eV/atom
* E_form: 1.26 eV per atom
* M_tot: 3.07 μB/f.u.

# 8
Compound: NaNb2PdRh
Source: Alexandria
Functional: PBE-GGA
Structure: relaxed

```
NaNb2PdRh
1.0
4.826 0.000 0.000
0.000 4.826 0.000
0.000 0.000 5.020
Na Nb Pd Rh
1 2 1 1
direct
0.000 0.000 0.000
0.000 0.500 0.500
0.500 0.000 0.500
0.500 0.500 0.500
0.500 0.500 0.000
```

* space group: P4/mmm
* crystal system: tetragonal
* E: -5.56 eV/atom
* E_form: 1.24 eV per atom
* M_tot: 0.00 μB/f.u.

# 9
Compound: Na3NbPd2S6
Source: Alexandria
Functional: PBE-GGA
Structure: relaxed

```
Na3NbPd2S6
1.0
3.187 -5.639 0.000
3.187 5.639 0.000
-2.075 0.000 6.479
Na Nb Pd S
3 1 2 6
direct
0.000 0.000 0.000
0.328 0.672 0.000
0.672 0.328 0.000
0.500 0.500 0.500
0.164 0.836 0.500
0.836 0.164 0.500
0.099 0.425 0.297
0.247 0.247 0.711
0.425 0.099 0.297
0.575 0.901 0.703
0.753 0.753 0.289
0.901 0.575 0.703
```

* space group: C2/m
* crystal system: monoclinic
* E: -4.78 eV/atom
* M_tot: 0.02 μB/f.u.

# 10
Compound: Na2Nb2PdS6
Source: Alexandria
Functional: PBE-GGA
Structure: relaxed

```
Na2Nb2PdS6
1.0
3.131 -5.284 0.000
3.131 5.284 0.000
-1.904 0.000 6.828
Na Nb Pd S
2 2 1 6
direct
0.173 0.827 0.000
0.827 0.173 0.000
0.363 0.637 0.500
0.637 0.363 0.500
0.000 0.000 0.500
0.042 0.384 0.690
0.316 0.316 0.235
0.384 0.042 0.690
0.616 0.958 0.310
0.684 0.684 0.765
0.958 0.616 0.310
```

* space group: C2/m
* crystal system: monoclinic
* E: -5.66 eV/atom
* M_tot: 0.00 μB/f.u.

# 11
Compound: NaNbSb2Pd
Source: Alexandria
Functional: PBE-GGA
Structure: relaxed

```
NaNbSb2Pd
1.0
5.165 0.000 0.000
0.000 5.165 0.000
0.000 0.000 4.436
Na Nb Sb Pd
1 1 2 1
direct
0.000 0.000 0.000
0.500 0.500 0.500
0.000 0.500 0.000
0.500 0.000 0.000
0.000 0.000 0.500
```

* space group: P4/mmm
* crystal system: tetragonal
* E: -3.83 eV/atom
* M_tot: 0.00 μB/f.u.

# 12
Compound: NaNbPdSe3
Source: Alexandria
Functional: PBE-GGA
Structure: relaxed

```
NaNbPdSe3
1.0
7.676 0.000 0.000
0.000 3.692 0.000
-3.150 0.000 9.238
Na Nb Pd Se
2 2 2 6
direct
0.240 0.250 0.204
0.760 0.750 0.796
0.207 0.750 0.677
0.793 0.250 0.323
0.427 0.250 0.883
0.573 0.750 0.117
0.066 0.750 0.376
0.221 0.750 0.942
0.420 0.250 0.626
0.580 0.750 0.374
0.779 0.250 0.058
0.934 0.250 0.624
```

* space group: P2_1/m
* crystal system: monoclinic
* E: -5.30 eV/atom
* M_tot: 0.00 μB/f.u.